A) DFT (PBE+U) results for an optimized crystal structure of Hf2MnF.

a b c (Å): 6.3442 6.3442 6.3442
angles (deg): 90.00 90.00 90.00
Space group Fm-3m (No. 225)
One atom of each set of equivalent atoms:
Hf 0.2500 0.2500 0.2500
Mn 0.0000 0.0000 0.0000
F 0.0000 0.0000 0.5000

Calculated values
**Crystal system**: cubic
**ρ**: 11.2 g/cm3

***

B) DFT (PBE+U) results for an optimized crystal structure of Hf2MnF.

a b c (Å): 4.9450 4.9450 12.3957
angles (deg): 90.00 90.00 90.00
Space group I-42d (No. 122)
One atom of each set of equivalent atoms:
Hf 0.2190 0.2500 0.1250
Mn 0.0000 0.0000 0.5000
F 0.0000 0.0000 0.0000

Calculated values
**Crystal system**: tetragonal
**ρ**: 9.4 g/cm3

***

Among the structures shown above, A) is the most stable, with the second-best lying 154 meV per atom higher.